1.
Density functional theory data (meta-GGA SCAN) for a PBEsol-optimized structure of ScGa2Cu2.

## Properties
space group	I4/mmm, No. 139
crystal system	tetragonal

a = 3.8073 Å, b = 3.8073 Å, c = 5.9442 Å
α = 108.68°, β = 108.68°, γ = 90.00°
With the nearest neighbours (Å) after each atom.
Sites, in units of the cell vectors:
Ga1 0.6130 0.6130 0.2260  4 Cu 2.39, 1 Ga 2.40
Cu1 0.2500 0.7500 0.5000  4 Ga 2.39
Cu2 0.7500 0.2500 0.5000  4 Ga 2.39
Ga2 0.3870 0.3870 0.7740  4 Cu 2.39, 1 Ga 2.40
Sc1 0.0000 0.0000 0.0000  8 Ga 2.95, 8 Cu 3.26

2.
Density functional theory data (meta-GGA SCAN) for a PBEsol-optimized structure of Cr2InCu.

## Properties
space group	Cmmm, No. 65
crystal system	orthorhombic

a = 2.6185 Å, b = 4.8316 Å, c = 4.8316 Å
α = 117.75°, β = 90.00°, γ = 90.00°
With the nearest neighbours (Å) after each atom.
Sites, in units of the cell vectors:
Cr1 0.0000 0.0000 0.5000  4 Cr 2.50-2.62, 4 In 2.75, 4 Cu 2.75
In1 0.5000 0.5000 0.5000  2 Cu 2.50, 2 In 2.62, 8 Cr 2.75
Cu1 0.5000 0.0000 0.0000  2 In 2.50, 2 Cu 2.62, 8 Cr 2.75
Cr2 0.0000 0.5000 0.0000  4 Cr 2.50-2.62, 4 Cu 2.75, 4 In 2.75

3.
Density functional theory data (meta-GGA SCAN) for a PBEsol-optimized structure of MnRe.

## Properties
space group	Cmcm, No. 63
crystal system	orthorhombic

a = 2.6441 Å, b = 3.9813 Å, c = 4.9540 Å
α = 90.00°, β = 105.48°, γ = 90.00°
With the nearest neighbours (Å) after each atom.
Sites, in units of the cell vectors:
Re1 0.1756 0.2500 0.3512  7 Mn 2.55-2.64, 6 Re 2.64-2.78
Re2 0.8244 0.7500 0.6488  7 Mn 2.55-2.64, 6 Re 2.64-2.78
Mn1 0.4424 0.2500 0.8848  2 Mn 2.27
Mn2 0.5576 0.7500 0.1152  2 Mn 2.27

How do the records compare in energy of formation? In the order shown, they have -39.38, 52.93, 13.39 kJ/mol of atoms.
How do the records compare in density? In the order shown, they have 6.7, 8.7, 15.9 Mg/m³.